# 1
# Cs2NpF7, relaxed, DFT PBE
# V ... 976 Å³ per cell
# Total moment ... 2.3 μB/f.u.
# Energy above the lowest structure with this stoichiometry ... 261 meV per atom
# Energy ... -5.693 eV per atom
# E_form (uncorrected) ... -2.919 eV per atom
data_Cs2NpF7
_chemical_formula_sum 'Cs8 Np4 F28'
_symmetry_space_group_name_H-M 'F m -3 m'
_symmetry_Int_Tables_number 225
_symmetry_space_group_name_Hall '-F 4 2 3'
_cell_length_a 9.9184
_cell_length_b 9.9184
_cell_length_c 9.9184
_cell_angle_alpha 90.00
_cell_angle_beta 90.00
_cell_angle_gamma 90.00
loop_
_atom_site_label
_atom_site_fract_x
_atom_site_fract_y
_atom_site_fract_z
Cs1 0.2500 0.2500 0.2500
Np1 0.0000 0.0000 0.0000
F1 0.0000 0.0000 0.2110
F2 0.0000 0.0000 0.5000

=====

# 2
# HgPb2S, relaxed, DFT PBE
# V ... 337 Å³ per cell
# Total moment ... 0.0 μB/f.u.
# Energy above the lowest structure with this stoichiometry ... 0 meV per atom
# Energy ... -3.110 eV per atom
# E_form (uncorrected) ... -0.149 eV per atom
data_HgPb2S
_chemical_formula_sum 'Hg3 Pb6 S3'
_symmetry_space_group_name_H-M 'R -3 m'
_symmetry_Int_Tables_number 166
_symmetry_space_group_name_Hall '-R 3 2"'
_cell_length_a 3.9223
_cell_length_b 3.9223
_cell_length_c 25.3256
_cell_angle_alpha 90.00
_cell_angle_beta 90.00
_cell_angle_gamma 120.00
loop_
_atom_site_label
_atom_site_fract_x
_atom_site_fract_y
_atom_site_fract_z
Hg1 0.0000 0.0000 0.0000
Pb1 0.0000 0.0000 0.2411
S1 0.0000 0.0000 0.5000

=====

# 3
# Ta2SiC, relaxed, DFT PBE
# V ... 114 Å³ per cell
# Total moment ... 0.0 μB/f.u.
# Energy ... -9.978 eV per atom
# E_form (uncorrected) ... -0.390 eV per atom
data_Ta2SiC
_chemical_formula_sum 'Ta4 Si2 C2'
_symmetry_space_group_name_H-M 'C 1 2/m 1'
_symmetry_Int_Tables_number 12
_symmetry_space_group_name_Hall '-C 2y'
_cell_length_a 5.4565
_cell_length_b 3.1047
_cell_length_c 7.1900
_cell_angle_alpha 90.00
_cell_angle_beta 110.64
_cell_angle_gamma 90.00
loop_
_atom_site_label
_atom_site_fract_x
_atom_site_fract_y
_atom_site_fract_z
Ta1 0.0852 0.0000 0.3175
Si1 0.0000 0.5000 0.0000
C1 0.0000 0.5000 0.5000

=====

# 4
# HfZr2Sb, relaxed, DFT PBE
# V ... 280 Å³ per cell
# Total moment ... 0.0 μB/f.u.
# Energy ... -7.938 eV per atom
# E_form (uncorrected) ... -0.145 eV per atom
data_HfZr2Sb
_chemical_formula_sum 'Hf3 Zr6 Sb3'
_symmetry_space_group_name_H-M 'R 3 m'
_symmetry_Int_Tables_number 160
_symmetry_space_group_name_Hall 'R 3 -2"'
_cell_length_a 3.3391
_cell_length_b 3.3391
_cell_length_c 28.9902
_cell_angle_alpha 90.00
_cell_angle_beta 90.00
_cell_angle_gamma 120.00
loop_
_atom_site_label
_atom_site_fract_x
_atom_site_fract_y
_atom_site_fract_z
Hf1 0.0000 0.0000 0.0000
Zr1 0.0000 0.0000 0.5820
Zr2 0.0000 0.0000 0.7518
Sb1 0.0000 0.0000 0.1669

=====

# 5
# Er3BiAs2Rh9, relaxed, DFT PBE
# V ... 320 Å³ per cell
# Total moment ... 0.0 μB/f.u.
# Calculated formation energy ... -404 meV/atom
# Energy ... -6.606 eV per atom
data_Er3BiAs2Rh9
_chemical_formula_sum 'Er3 Bi1 As2 Rh9'
_symmetry_space_group_name_H-M 'P -3 m 1'
_symmetry_Int_Tables_number 164
_symmetry_space_group_name_Hall '-P 3 2"'
_cell_length_a 6.2289
_cell_length_b 6.2289
_cell_length_c 9.5203
_cell_angle_alpha 90.00
_cell_angle_beta 90.00
_cell_angle_gamma 120.00
loop_
_atom_site_label
_atom_site_fract_x
_atom_site_fract_y
_atom_site_fract_z
Er1 0.0000 0.0000 0.0000
Er2 0.3333 0.6667 0.7574
Bi1 0.0000 0.0000 0.5000
As1 0.3333 0.6667 0.1663
Rh1 0.0000 0.5000 0.0000
Rh2 0.1422 0.2845 0.2651

=====

# 6
# Tb2Nd7Sm, relaxed, DFT PBE
# V ... 835 Å³ per cell
# Total moment ... 0.0 μB/f.u.
# Calculated formation energy ... 635 meV/atom
# Energy above the lowest structure with this stoichiometry ... 262 meV per atom
# Energy ... -4.100 eV per atom
data_Tb2Nd7Sm
_chemical_formula_sum 'Tb4 Nd14 Sm2'
_symmetry_space_group_name_H-M 'C m m m'
_symmetry_Int_Tables_number 65
_symmetry_space_group_name_Hall '-C 2 2'
_cell_length_a 8.9238
_cell_length_b 16.3904
_cell_length_c 5.7062
_cell_angle_alpha 90.00
_cell_angle_beta 90.00
_cell_angle_gamma 90.00
loop_
_atom_site_label
_atom_site_fract_x
_atom_site_fract_y
_atom_site_fract_z
Tb1 0.0000 0.2043 0.0000
Nd1 0.0000 0.0000 0.0000
Nd2 0.0000 0.2754 0.5000
Nd3 0.1794 0.3854 0.0000
Sm1 0.0000 0.5000 0.5000

=====

What did the fifth record say?
# Er3BiAs2Rh9, relaxed, DFT PBE
# V ... 320 Å³ per cell
# Total moment ... 0.0 μB/f.u.
# Calculated formation energy ... -404 meV/atom
# Energy ... -6.606 eV per atom
data_Er3BiAs2Rh9
_chemical_formula_sum 'Er3 Bi1 As2 Rh9'
_symmetry_space_group_name_H-M 'P -3 m 1'
_symmetry_Int_Tables_number 164
_symmetry_space_group_name_Hall '-P 3 2"'
_cell_length_a 6.2289
_cell_length_b 6.2289
_cell_length_c 9.5203
_cell_angle_alpha 90.00
_cell_angle_beta 90.00
_cell_angle_gamma 120.00
loop_
_atom_site_label
_atom_site_fract_x
_atom_site_fract_y
_atom_site_fract_z
Er1 0.0000 0.0000 0.0000
Er2 0.3333 0.6667 0.7574
Bi1 0.0000 0.0000 0.5000
As1 0.3333 0.6667 0.1663
Rh1 0.0000 0.5000 0.0000
Rh2 0.1422 0.2845 0.2651

=====

- Look up the V of the sixth one.
  835 Å³ per cell